# 1
The following is a GGA-PBE calculation of crystalline Li3UTl2F12 at its relaxed geometry, from Alexandria via LeMat-Bulk.

```
data_Li3UTl2F12
_chemical_formula_sum 'Li9 U3 Tl6 F36'
_cell_length_a 6.5726
_cell_length_b 6.5726
_cell_length_c 25.3576
_cell_angle_alpha 90.00
_cell_angle_beta 90.00
_cell_angle_gamma 120.00
_symmetry_space_group_name_H-M 'R -3 m'
_symmetry_Int_Tables_number 166
_symmetry_space_group_name_Hall '-R 3 2"'
loop_
_atom_site_label
_atom_site_fract_x
_atom_site_fract_y
_atom_site_fract_z
Li1 0.0000 0.5000 0.0000
U1 0.0000 0.0000 0.5000
Tl1 0.0000 0.0000 0.0675
F1 0.0416 0.5208 0.1196
F2 0.0425 0.5212 0.3646
```

## Properties
Calculated total energy: -5.055 eV/atom
M_tot: 1.89 μB/f.u.

# 2
The following is a GGA-PBE calculation of crystalline Re2SiP at its relaxed geometry, from Alexandria via LeMat-Bulk.

```
data_Re2SiP
_chemical_formula_sum 'Re4 Si2 P2'
_cell_length_a 3.1230
_cell_length_b 3.1752
_cell_length_c 11.6187
_cell_angle_alpha 90.00
_cell_angle_beta 90.00
_cell_angle_gamma 90.00
_symmetry_space_group_name_H-M 'I m m 2'
_symmetry_Int_Tables_number 44
loop_
_symmetry_equiv_pos_as_xyz
'x,y,z'
'-x,-y,z'
'-x,y,z'
'x,-y,z'
'x+1/2,y+1/2,z+1/2'
'-x+1/2,-y+1/2,z+1/2'
'-x+1/2,y+1/2,z+1/2'
'x+1/2,-y+1/2,z+1/2'
loop_
_atom_site_label
_atom_site_fract_x
_atom_site_fract_y
_atom_site_fract_z
Re1 0.0000 0.0000 0.0000
Re2 0.0000 0.5000 0.2446
Si1 0.0000 0.5000 0.8345
P1 0.0000 0.0000 0.5860
```

## Properties
Calculated total energy: -9.102 eV/atom
M_tot: 0.00 μB/f.u.

# 3
The following is a GGA-PBE calculation of crystalline CaNd3Pt3 at its relaxed geometry, from Alexandria via LeMat-Bulk.

```
data_CaNd3Pt3
_chemical_formula_sum 'Ca4 Nd12 Pt12'
_cell_length_a 10.1282
_cell_length_b 10.2307
_cell_length_c 7.1588
_cell_angle_alpha 90.00
_cell_angle_beta 95.42
_cell_angle_gamma 90.00
_symmetry_space_group_name_H-M 'C 1 2/m 1'
_symmetry_Int_Tables_number 12
loop_
_symmetry_equiv_pos_as_xyz
'x,y,z'
'-x,-y,-z'
'-x,y,-z'
'x,-y,z'
'x+1/2,y+1/2,z'
'-x+1/2,-y+1/2,-z'
'-x+1/2,y+1/2,-z'
'x+1/2,-y+1/2,z'
loop_
_atom_site_label
_atom_site_fract_x
_atom_site_fract_y
_atom_site_fract_z
Ca1 0.2434 0.0000 0.4508
Nd1 0.0000 0.1904 0.0000
Nd2 0.0000 0.2519 0.5000
Nd3 0.1978 0.5000 0.0256
Pt1 0.0494 0.0000 0.7106
Pt2 0.2426 0.2524 0.7700
```

## Properties
DFT formation energy: -0.8707 eV per atom
Calculated total energy: -5.789 eV/atom
M_tot: 0.00 μB/f.u.

# 4
The following is a GGA-PBE calculation of crystalline Na2CdPd2O6 at its relaxed geometry, from Alexandria via LeMat-Bulk.

```
data_Na2CdPd2O6
_chemical_formula_sum 'Na4 Cd2 Pd4 O12'
_cell_length_a 5.4397
_cell_length_b 9.6757
_cell_length_c 5.8037
_cell_angle_alpha 90.00
_cell_angle_beta 108.28
_cell_angle_gamma 90.00
_symmetry_space_group_name_H-M 'C 1 2/m 1'
_symmetry_Int_Tables_number 12
loop_
_symmetry_equiv_pos_as_xyz
'x,y,z'
'-x,-y,-z'
'-x,y,-z'
'x,-y,z'
'x+1/2,y+1/2,z'
'-x+1/2,-y+1/2,-z'
'-x+1/2,y+1/2,-z'
'x+1/2,-y+1/2,z'
loop_
_atom_site_label
_atom_site_fract_x
_atom_site_fract_y
_atom_site_fract_z
Na1 0.0000 0.1631 0.0000
Cd1 0.0000 0.0000 0.5000
Pd1 0.0000 0.3352 0.5000
O1 0.2062 0.5000 0.7014
O2 0.2432 0.1862 0.6990
```

## Properties
Calculated total energy: -4.849 eV/atom
M_tot: 0.00 μB/f.u.

# 5
The following is a GGA-PBE calculation of crystalline BaLiScF6 at its relaxed geometry, from Alexandria via LeMat-Bulk.

```
data_BaLiScF6
_chemical_formula_sum 'Ba2 Li2 Sc2 F12'
_cell_length_a 5.4491
_cell_length_b 5.4491
_cell_length_c 11.2487
_cell_angle_alpha 90.00
_cell_angle_beta 90.00
_cell_angle_gamma 120.00
_symmetry_space_group_name_H-M 'P -3 1 c'
_symmetry_Int_Tables_number 163
_symmetry_space_group_name_Hall '-P 3 2c'
loop_
_atom_site_label
_atom_site_fract_x
_atom_site_fract_y
_atom_site_fract_z
Ba1 0.0000 0.0000 0.0000
Li1 0.3333 0.6667 0.2500
Sc1 0.3333 0.6667 0.7500
F1 0.0067 0.3812 0.6475
```

## Properties
Calculated total energy: -6.104 eV/atom
M_tot: 0.00 μB/f.u.

# 6
The following is a GGA-PBE calculation of crystalline CsTlAu at its relaxed geometry, from Alexandria via LeMat-Bulk.

```
data_CsTlAu
_chemical_formula_sum 'Cs2 Tl2 Au2'
_cell_length_a 4.0618
_cell_length_b 4.0618
_cell_length_c 12.9850
_cell_angle_alpha 90.00
_cell_angle_beta 90.00
_cell_angle_gamma 90.00
_symmetry_space_group_name_H-M 'I 4 m m'
_symmetry_Int_Tables_number 107
_symmetry_space_group_name_Hall 'I 4 -2'
loop_
_atom_site_label
_atom_site_fract_x
_atom_site_fract_y
_atom_site_fract_z
Cs1 0.0000 0.0000 0.0000
Tl1 0.0000 0.0000 0.2819
Au1 0.0000 0.0000 0.7054
```

## Properties
DFT formation energy: -0.1297 eV per atom
Calculated total energy: -2.295 eV/atom
M_tot: 0.00 μB/f.u.

- The highest M_tot belongs to which entry?
  Li3UTl2F12

Please write out number 2 again, unchanged.
The following is a GGA-PBE calculation of crystalline Re2SiP at its relaxed geometry, from Alexandria via LeMat-Bulk.

```
data_Re2SiP
_chemical_formula_sum 'Re4 Si2 P2'
_cell_length_a 3.1230
_cell_length_b 3.1752
_cell_length_c 11.6187
_cell_angle_alpha 90.00
_cell_angle_beta 90.00
_cell_angle_gamma 90.00
_symmetry_space_group_name_H-M 'I m m 2'
_symmetry_Int_Tables_number 44
loop_
_symmetry_equiv_pos_as_xyz
'x,y,z'
'-x,-y,z'
'-x,y,z'
'x,-y,z'
'x+1/2,y+1/2,z+1/2'
'-x+1/2,-y+1/2,z+1/2'
'-x+1/2,y+1/2,z+1/2'
'x+1/2,-y+1/2,z+1/2'
loop_
_atom_site_label
_atom_site_fract_x
_atom_site_fract_y
_atom_site_fract_z
Re1 0.0000 0.0000 0.0000
Re2 0.0000 0.5000 0.2446
Si1 0.0000 0.5000 0.8345
P1 0.0000 0.0000 0.5860
```

## Properties
Calculated total energy: -9.102 eV/atom
M_tot: 0.00 μB/f.u.